Compound: Nd2OsCl
Source: Alexandria
Functional: PBE
Structure: relaxed

Cell: 3.3203 3.3203 29.9130 Å, 90.00 90.00 120.00°
Closest atoms and distances in Å follow each position.
Space group R-3m (No. 166, hexagonal axes)
One atom of each set of equivalent atoms:
Nd 0.0000 0.0000 0.0878 (multiplicity 6)  1 Os 2.63
Os 0.0000 0.0000 0.0000 (multiplicity 3)  2 Nd 2.63
Cl 0.0000 0.0000 0.5000 (multiplicity 3)  6 Nd 3.04, 6 Cl 3.32

The energy relative to the lowest polymorph listed for this composition is 805 meV/atom. As for the raw formation energy: 1.030 kcal/mol of atoms.


Compound: Nd3OsCl2
Source: Alexandria
Functional: PBE
Structure: relaxed

Cell: 4.0599 5.8453 14.0558 Å, 90.00 90.00 90.00°
Closest atoms and distances in Å follow each position.
Space group Immm (No. 71)
One atom of each set of equivalent atoms:
Nd 0.0000 0.0000 0.0000 (multiplicity 2)  2 Os 2.92, 4 Cl 3.22
Nd 0.0000 0.0000 0.3660 (multiplicity 4)  2 Os 2.77, 2 Cl 2.99
Os 0.0000 0.5000 0.0000 (multiplicity 2)  6 Nd 2.77-2.92
Cl 0.0000 0.5000 0.3224 (multiplicity 4)  6 Nd 2.99-3.34

As for the raw formation energy: -22.998 kcal/mol of atoms.


Compound: Nd3OsCl
Source: Alexandria
Functional: PBE
Structure: relaxed

Cell: 3.8704 9.6384 8.0852 Å, 90.00 90.00 90.00°
Closest atoms and distances in Å follow each position.
Space group Pmmn (No. 59, origin choice 2)
One atom of each set of equivalent atoms:
Nd 0.2500 0.0742 0.1606 (multiplicity 4)  3 Os 3.00-3.30
Nd 0.2500 0.2500 0.7245 (multiplicity 2)  2 Os 2.78, 2 Cl 3.07
Os 0.2500 0.7500 0.0292 (multiplicity 2)  6 Nd 2.78-3.00
Cl 0.2500 0.7500 0.5699 (multiplicity 2)  6 Nd 3.07-3.37

As for the raw formation energy: -12.999 kcal/mol of atoms.


Compound: Nd2OsCl
Source: Alexandria
Functional: PBE
Structure: relaxed

Cell: 3.4282 3.4282 8.1650 Å, 90.00 90.00 90.00°
Closest atoms and distances in Å follow each position.
Space group P4/mmm (No. 123)
One atom of each set of equivalent atoms:
Nd 0.0000 0.0000 0.2168 (multiplicity 2)  4 Os 3.00, 4 Cl 3.35
Os 0.5000 0.5000 0.0000 (multiplicity 1)  8 Nd 3.00
Cl 0.5000 0.5000 0.5000 (multiplicity 1)  8 Nd 3.35, 4 Cl 3.43

The energy relative to the lowest polymorph listed for this composition is 0 meV/atom. As for the raw formation energy: -17.532 kcal/mol of atoms.


Compound: Nd8POs3Cl4
Source: Alexandria
Functional: PBE
Structure: relaxed

Cell: 14.3563 8.2904 8.8560 Å, 90.00 122.75 90.00°
Closest atoms and distances in Å follow each position.
Space group C2/m (No. 12)
One atom of each set of equivalent atoms:
Nd 0.0179 0.2429 0.2970 (multiplicity 8)  2 Os 2.80, 1 P 2.89
Nd 0.2378 0.0000 0.7129 (multiplicity 4)  3 Os 2.87, 3 Cl 3.21
Nd 0.2392 0.5000 0.7030 (multiplicity 4)  2 Os 2.80, 1 P 2.89
P 0.0000 0.5000 0.5000 (multiplicity 2)  6 Nd 2.89
Os 0.0000 0.0000 0.5000 (multiplicity 2)  6 Nd 2.80-2.87
Os 0.2500 0.2500 0.5000 (multiplicity 4)  6 Nd 2.80-2.87
Cl 0.0000 0.0000 0.0000 (multiplicity 2)  6 Nd 3.21
Cl 0.0000 0.5000 0.0000 (multiplicity 2)  6 Nd 3.21-3.29
Cl 0.2500 0.2500 0.0000 (multiplicity 4)  6 Nd 3.21-3.29

As for the raw formation energy: -21.972 kcal/mol of atoms.


Compound: Nd6Os2PdCl3
Source: Alexandria
Functional: PBE
Structure: relaxed

Cell: 7.1264 12.3546 7.9717 Å, 90.00 107.30 90.00°
Closest atoms and distances in Å follow each position.
Space group C2/m (No. 12)
One atom of each set of equivalent atoms:
Nd 0.2195 0.0000 0.2069 (multiplicity 4)  2 Os 2.80, 1 Pd 2.95
Nd 0.2436 0.3256 0.2074 (multiplicity 8)  2 Os 2.81, 1 Pd 2.95, 1 Cl 3.14
Os 0.0000 0.1665 0.0000 (multiplicity 4)  6 Nd 2.80-2.81
Pd 0.0000 0.5000 0.0000 (multiplicity 2)  6 Nd 2.95
Cl 0.0000 0.0000 0.5000 (multiplicity 2)  6 Nd 3.18-3.30
Cl 0.0000 0.3277 0.5000 (multiplicity 4)  6 Nd 3.14-3.35

As for the raw formation energy: -21.288 kcal/mol of atoms.


Compound: Nd8Os3PdCl4
Source: Alexandria
Functional: PBE
Structure: relaxed

Cell: 14.2117 8.2068 8.9633 Å, 90.00 121.95 90.00°
Closest atoms and distances in Å follow each position.
Space group C2/m (No. 12)
One atom of each set of equivalent atoms:
Nd 0.0174 0.2404 0.2930 (multiplicity 8)  2 Os 2.81, 1 Pd 2.92
Nd 0.2364 0.0000 0.7088 (multiplicity 4)  3 Os 2.85
Nd 0.2422 0.5000 0.7069 (multiplicity 4)  2 Os 2.81, 1 Pd 2.92
Os 0.0000 0.0000 0.5000 (multiplicity 2)  6 Nd 2.81-2.85
Os 0.2500 0.2500 0.5000 (multiplicity 4)  6 Nd 2.81-2.85
Pd 0.0000 0.5000 0.5000 (multiplicity 2)  6 Nd 2.92
Cl 0.0000 0.0000 0.0000 (multiplicity 2)  6 Nd 3.18-3.19
Cl 0.0000 0.5000 0.0000 (multiplicity 2)  6 Nd 3.24-3.29
Cl 0.2500 0.2500 0.0000 (multiplicity 4)  6 Nd 3.24-3.29

As for the raw formation energy: -20.051 kcal/mol of atoms.


Compound: Nd8Os3PtCl4
Source: Alexandria
Functional: PBE
Structure: relaxed

Cell: 8.2266 8.2266 22.7375 Å, 90.00 90.00 120.00°
Closest atoms and distances in Å follow each position.
Space group R-3m (No. 166, hexagonal axes)
One atom of each set of equivalent atoms:
Nd 0.0000 0.0000 0.2362 (multiplicity 6)  3 Os 2.85
Nd 0.0107 0.5054 0.7647 (multiplicity 18)  2 Os 2.81, 1 Pt 2.91
Os 0.0000 0.5000 0.5000 (multiplicity 9)  6 Nd 2.81-2.85
Pt 0.0000 0.0000 0.5000 (multiplicity 3)  6 Nd 2.91
Cl 0.0000 0.0000 0.0000 (multiplicity 3)  6 Nd 3.20
Cl 0.0000 0.5000 0.0000 (multiplicity 9)  6 Nd 3.24-3.29

As for the raw formation energy: -21.125 kcal/mol of atoms.


> Number 7 is which compound?

Nd8Os3PdCl4


Copy entry 2 word for word.
Compound: Nd3OsCl2
Source: Alexandria
Functional: PBE
Structure: relaxed

Cell: 4.0599 5.8453 14.0558 Å, 90.00 90.00 90.00°
Closest atoms and distances in Å follow each position.
Space group Immm (No. 71)
One atom of each set of equivalent atoms:
Nd 0.0000 0.0000 0.0000 (multiplicity 2)  2 Os 2.92, 4 Cl 3.22
Nd 0.0000 0.0000 0.3660 (multiplicity 4)  2 Os 2.77, 2 Cl 2.99
Os 0.0000 0.5000 0.0000 (multiplicity 2)  6 Nd 2.77-2.92
Cl 0.0000 0.5000 0.3224 (multiplicity 4)  6 Nd 2.99-3.34

As for the raw formation energy: -22.998 kcal/mol of atoms.


> Among the records above, which one has the lowest raw formation energy?

Nd3OsCl2